No. 1
SrBeF4: optimized geometry, PBE-GGA.

abc: 5.4682 8.2678 8.6578
angles: 90.00 127.32 90.00
Fractional positions:
Sr 0.0204 0.1935 0.3280
Sr 0.0204 0.3065 0.8280
Sr 0.9796 0.6935 0.1720
Sr 0.9796 0.8065 0.6720
Be 0.4275 0.5433 0.6821
Be 0.4275 0.9567 0.1821
Be 0.5725 0.0433 0.8179
Be 0.5725 0.4567 0.3179
F 0.2190 0.0845 0.6786
F 0.2190 0.4155 0.1786
F 0.2389 0.6802 0.5304
F 0.2389 0.8198 0.0304
F 0.2911 0.5367 0.7983
F 0.2911 0.9633 0.2983
F 0.4068 0.1238 0.0935
F 0.4068 0.3762 0.5935
F 0.5932 0.6238 0.4065
F 0.5932 0.8762 0.9065
F 0.7089 0.0367 0.7017
F 0.7089 0.4633 0.2017
F 0.7611 0.1802 0.9696
F 0.7611 0.3198 0.4696
F 0.7810 0.5845 0.8214
F 0.7810 0.9155 0.3214

Total moment (μB/f.u.): 0.0
Calculated volume (Å³/cell): 311.3
Energy relative to the elements, uncorrected (eV per formula unit): -21.85

***

No. 2
Ge2OsPd: optimized geometry, PBE-GGA.

abc: 5.5778 5.5778 11.2110
angles: 90.00 90.00 90.00
Fractional positions:
Ge 0.2358 0.2500 0.1250
Ge 0.2500 0.7358 0.3750
Ge 0.2500 0.7642 0.8750
Ge 0.2642 0.2500 0.6250
Ge 0.7358 0.7500 0.6250
Ge 0.7500 0.2358 0.8750
Ge 0.7500 0.2642 0.3750
Ge 0.7642 0.7500 0.1250
Os 0.0000 0.0000 0.0000
Os 0.0000 0.5000 0.2500
Os 0.5000 0.0000 0.7500
Os 0.5000 0.5000 0.5000
Pd 0.0000 0.0000 0.5000
Pd 0.0000 0.5000 0.7500
Pd 0.5000 0.0000 0.2500
Pd 0.5000 0.5000 0.0000

E above lowest polymorph (kcal/mol of atoms): 8.42
Total moment (μB/f.u.): 0.0
DFT formation energy (eV/atom): 0.385
Calculated volume (Å³/cell): 348.8

***

No. 3
TaTl3Re: optimized geometry, PBE-GGA.

abc: 5.2544 5.2544 5.2544
angles: 90.00 90.00 90.00
Fractional positions:
Ta 0.0000 0.0000 0.0000
Tl 0.0000 0.5000 0.5000
Tl 0.5000 0.0000 0.5000
Tl 0.5000 0.5000 0.0000
Re 0.5000 0.5000 0.5000

E above lowest polymorph (kcal/mol of atoms): 0.00
Total moment (μB/f.u.): 0.5
DFT formation energy (eV/atom): 1.805
Calculated volume (Å³/cell): 145.1

***

No. 4
KLaCd4: optimized geometry, PBE-GGA.

abc: 6.1767 6.1767 6.1767
angles: 60.00 60.00 60.00
Fractional positions:
K 0.0000 0.0000 0.0000
La 0.7500 0.7500 0.7500
Cd 0.3754 0.3754 0.3754
Cd 0.3754 0.3754 0.8737
Cd 0.3754 0.8737 0.3754
Cd 0.8737 0.3754 0.3754

Total moment (μB/f.u.): 0.0
DFT formation energy (eV/atom): -0.132
Calculated volume (Å³/cell): 166.6